Entry 1:
A plane-wave DFT calculation with PBE was carried out for a geometry-optimized SrReGe2O7 structure.

The structure in POSCAR format:
```
SrReGe2O7
1.0
-3.8315 3.7046 1.6914
0.4683 -3.1602 4.5890
3.8116 2.7665 0.8981
Ge O Re Sr
2 7 1 1
direct
0.2253 0.2136 0.4318
0.7864 0.7747 0.5682
0.0170 0.3485 0.2299
0.4547 0.1311 0.2348
0.6230 0.6254 0.2450
0.0918 0.9082 0.5000
0.3746 0.3770 0.7550
0.8689 0.5453 0.7652
0.6515 0.9830 0.7701
0.6776 0.3224 0.0000
0.2688 0.7312 0.0000
```

- E_tot: -7.020 eV per atom
- Space group: C2

***

Entry 2:
A plane-wave DFT calculation with PBE was carried out for a geometry-optimized ZnGeSO structure.

The structure in POSCAR format:
```
ZnGeSO
1.0
3.6749 0.0000 0.0000
0.0000 3.6749 0.0000
0.0000 0.0000 10.7451
Ge O S Zn
2 2 2 2
direct
0.7500 0.7500 0.4004
0.2500 0.2500 0.5996
0.2500 0.2500 0.4310
0.7500 0.7500 0.5690
0.2500 0.2500 0.1380
0.7500 0.7500 0.8620
0.7500 0.2500 0.0000
0.2500 0.7500 0.0000
```

- E_tot: -4.374 eV per atom
- Space group: P4/nmm

***

Entry 3:
A plane-wave DFT calculation with PBE was carried out for a geometry-optimized ZnGeSO structure.

The structure in POSCAR format:
```
ZnGeSO
1.0
7.3135 0.0000 0.0000
0.0000 6.7458 0.0000
0.0000 0.0000 5.6726
Ge O S Zn
4 4 4 4
direct
0.1140 0.1212 0.4493
0.6140 0.8788 0.4493
0.3860 0.1212 0.9493
0.8860 0.8788 0.9493
0.9675 0.0865 0.1555
0.4675 0.9135 0.1555
0.5325 0.0865 0.6555
0.0325 0.9135 0.6555
0.5952 0.3788 0.1198
0.0952 0.6212 0.1198
0.9048 0.3788 0.6198
0.4048 0.6212 0.6198
0.9105 0.3518 0.0254
0.4105 0.6482 0.0254
0.5895 0.3518 0.5254
0.0895 0.6482 0.5254
```

- E_tot: -4.610 eV per atom
- Space group: Pca2_1

***

Entry 4:
A plane-wave DFT calculation with PBE was carried out for a geometry-optimized ZnGeSO structure.

The structure in POSCAR format:
```
ZnGeSO
1.0
-0.4975 0.7138 3.6957
-0.0513 -3.7288 0.7133
8.4761 0.0980 1.1221
Ge O S Zn
2 2 2 2
direct
0.7500 0.2500 0.0000
0.2500 0.7500 0.0000
0.7500 0.7500 0.4944
0.2500 0.2500 0.5056
0.2500 0.2500 0.3265
0.7500 0.7500 0.6735
0.7500 0.7500 0.2641
0.2500 0.2500 0.7359
```

- E_tot: -3.832 eV per atom
- Space group: P4/nmm

***

Entry 5:
A plane-wave DFT calculation with PBE was carried out for a geometry-optimized ZnGeSO structure.

The structure in POSCAR format:
```
ZnGeSO
1.0
5.7009 0.0000 0.0000
0.0000 8.8549 0.0000
0.0000 0.0000 5.5098
Ge O S Zn
4 4 4 4
direct
0.9850 0.3175 0.0575
0.4850 0.6825 0.0575
0.5150 0.3175 0.5575
0.0150 0.6825 0.5575
0.0719 0.0942 0.1047
0.5719 0.9058 0.1047
0.4281 0.0942 0.6047
0.9281 0.9058 0.6047
0.5600 0.3108 0.1127
0.0600 0.6892 0.1127
0.9400 0.3108 0.6127
0.4400 0.6892 0.6127
0.0933 0.0856 0.4751
0.5933 0.9144 0.4751
0.4067 0.0856 0.9751
0.9067 0.9144 0.9751
```

- E_tot: -4.564 eV per atom
- Space group: Pca2_1

***

Entry 6:
A plane-wave DFT calculation with PBE was carried out for a geometry-optimized ZnGeSO structure.

The structure in POSCAR format:
```
ZnGeSO
1.0
6.6150 0.0000 0.0000
0.0000 10.1297 0.0000
0.0000 0.0000 7.8445
Ge O S Zn
8 8 8 8
direct
0.2625 0.4218 0.2168
0.2375 0.9218 0.2168
0.7625 0.4218 0.2832
0.7375 0.9218 0.2832
0.2625 0.0782 0.7168
0.2375 0.5782 0.7168
0.7625 0.0782 0.7832
0.7375 0.5782 0.7832
0.7229 0.3284 0.0865
0.7771 0.8284 0.0865
0.2229 0.3284 0.4135
0.2771 0.8284 0.4135
0.7229 0.1716 0.5865
0.7771 0.6716 0.5865
0.2229 0.1716 0.9135
0.2771 0.6716 0.9135
0.4893 0.0789 0.2158
0.0107 0.5789 0.2158
0.9893 0.0789 0.2842
0.5107 0.5789 0.2842
0.4893 0.4211 0.7158
0.0107 0.9211 0.7158
0.9893 0.4211 0.7842
0.5107 0.9211 0.7842
0.9359 0.1935 0.0187
0.5641 0.6935 0.0187
0.4359 0.1935 0.4813
0.0641 0.6935 0.4813
0.9359 0.3065 0.5187
0.5641 0.8065 0.5187
0.4359 0.3065 0.9813
0.0641 0.8065 0.9813
```

- E_tot: -4.498 eV per atom
- Space group: Pbca

***

> The highest E_tot belongs to which entry?

number 4

***

> Among the records above, which one has the highest E_tot?

number 4

***

> E_tot of number 2 (ZnGeSO)?

-4.374 eV per atom